(1)
Entry from Alexandria: crystalline HfRe3Si at its relaxed geometry (GGA-PBE).

Geometry as POSCAR:
```
HfRe3Si
1.0
4.7969 0.0000 0.0000
0.0000 4.7969 0.0000
0.0000 0.0000 4.7969
Hf Re Si
1 3 1
direct
0.0000 0.0000 0.0000 Hf
0.0000 0.0000 0.5000 Re
0.0000 0.5000 0.0000 Re
0.5000 0.0000 0.0000 Re
0.5000 0.5000 0.5000 Si
```

Calculated values
E: -39.10 eV/cell
relative energy among the computed polymorphs: 2076 meV/atom
raw formation energy: 1314.3 kJ/mol of formula units


(2)
Entry from Alexandria: crystalline TmThCo2 at its relaxed geometry (GGA-PBE).

Geometry as POSCAR:
```
TmThCo2
1.0
0.0000 3.3797 3.3797
3.3797 0.0000 3.3797
3.3797 3.3797 0.0000
Tm Th Co
1 1 2
direct
0.0000 0.0000 0.0000 Tm
0.5000 0.5000 0.5000 Th
0.2500 0.2500 0.2500 Co
0.7500 0.7500 0.7500 Co
```

Calculated values
E: -26.82 eV/cell
DFT formation energy: -179 meV/atom
relative energy among the computed polymorphs: 111 meV/atom


(3)
Entry from Alexandria: crystalline YMg2Os at its relaxed geometry (GGA-PBE).

Geometry as POSCAR:
```
YMg2Os
1.0
2.9295 0.0000 0.0000
0.0000 4.4283 0.0000
0.0000 0.0000 6.0533
Y Mg Os
1 2 1
direct
0.0000 0.0000 0.0000 Y
0.5000 0.5000 0.2860 Mg
0.5000 0.5000 0.7140 Mg
0.0000 0.0000 0.5000 Os
```

Calculated values
E: -20.14 eV/cell
DFT formation energy: 186 meV/atom
relative energy among the computed polymorphs: 202 meV/atom


(4)
Entry from Alexandria: crystalline LiThScIr at its relaxed geometry (GGA-PBE).

Geometry as POSCAR:
```
LiThScIr
1.0
0.0000 3.4631 3.4631
3.4631 0.0000 3.4631
3.4631 3.4631 0.0000
Li Th Sc Ir
1 1 1 1
direct
0.0000 0.0000 0.0000 Li
0.2500 0.2500 0.2500 Th
0.7500 0.7500 0.7500 Sc
0.5000 0.5000 0.5000 Ir
```

Calculated values
E: -26.37 eV/cell
DFT formation energy: -461 meV/atom


(5)
Entry from Alexandria: crystalline TcRu2I at its relaxed geometry (GGA-PBE).

Geometry as POSCAR:
```
TcRu2I
1.0
0.0000 3.2174 3.2174
3.2174 0.0000 3.2174
3.2174 3.2174 0.0000
Tc Ru I
1 2 1
direct
0.0000 0.0000 0.0000 Tc
0.2500 0.2500 0.2500 Ru
0.7500 0.7500 0.7500 Ru
0.5000 0.5000 0.5000 I
```

Calculated values
E: -26.21 eV/cell
relative energy among the computed polymorphs: 29 meV/atom
raw formation energy: 411.3 kJ/mol of formula units


(6)
Entry from Alexandria: crystalline Rb2TaSe4 at its relaxed geometry (GGA-PBE).

Geometry as POSCAR:
```
Rb2TaSe4
1.0
6.7089 -1.8554 0.0000
6.7089 1.8554 0.0000
-3.5492 0.0000 8.4010
Rb Ta Se
2 1 4
direct
0.1626 0.1626 0.1643 Rb
0.8374 0.8374 0.8357 Rb
0.5000 0.5000 0.5000 Ta
0.1425 0.1425 0.5305 Se
0.4411 0.4411 0.1957 Se
0.5589 0.5589 0.8043 Se
0.8575 0.8575 0.4695 Se
```

Calculated values
E: -33.47 eV/cell
relative energy among the computed polymorphs: 33 meV/atom
raw formation energy: -553.8 kJ/mol of formula units


no.,magnetization (μB per cell),D(E_F) (states/eV per atom),ρ (Mg/m³)
1,3.10,1.14,11.51
2,0.00,0.82,11.16
3,0.19,0.71,6.93
4,0.00,0.93,9.52
5,3.40,0.99,10.65
6,0.00,0.84,5.30